Record 1
# NpFeAuO6, relaxed, DFT PBE with a Hubbard U
# E: -130.00 eV/cell
# Fermi-level density of states: 0.39 states/eV per atom
data_NpFeAuO6
_cell_length_a 5.3918
_cell_length_b 5.3918
_cell_length_c 9.3775
_cell_angle_alpha 90.00
_cell_angle_beta 90.00
_cell_angle_gamma 120.00
_space_group_name_H-M_alt 'P -3 1 c'
_space_group_IT_number 163
_space_group_name_Hall '-P 3 2c'
loop_
_atom_site_label
_atom_site_fract_x
_atom_site_fract_y
_atom_site_fract_z
Np1 0.3333 0.6667 0.2500
Fe1 0.3333 0.6667 0.7500
Au1 0.0000 0.0000 0.0000
O1 0.0009 0.3570 0.6367

Record 2
# FeAu2O, relaxed, DFT PBE with a Hubbard U
# E: -68.28 eV/cell
# Fermi-level density of states: 0.17 states/eV per atom
data_FeAu2O
_cell_length_a 8.5834
_cell_length_b 8.5834
_cell_length_c 3.8306
_cell_angle_alpha 90.00
_cell_angle_beta 90.00
_cell_angle_gamma 90.00
_space_group_name_H-M_alt 'I -4 2 d'
_space_group_IT_number 122
_space_group_name_Hall 'I -4 2bw'
loop_
_atom_site_label
_atom_site_fract_x
_atom_site_fract_y
_atom_site_fract_z
Fe1 0.0000 0.0000 0.0000
Au1 0.1405 0.2500 0.6250
O1 0.0000 0.0000 0.5000

Record 3
# Fe2AuO, relaxed, DFT PBE with a Hubbard U
# E: -84.39 eV/cell
# Fermi-level density of states: 0.34 states/eV per atom
data_Fe2AuO
_cell_length_a 6.0008
_cell_length_b 6.0008
_cell_length_c 7.3174
_cell_angle_alpha 90.00
_cell_angle_beta 90.00
_cell_angle_gamma 90.00
_space_group_name_H-M_alt 'I -4 2 d'
_space_group_IT_number 122
_space_group_name_Hall 'I -4 2bw'
loop_
_atom_site_label
_atom_site_fract_x
_atom_site_fract_y
_atom_site_fract_z
Fe1 0.1576 0.2500 0.1250
Au1 0.0000 0.0000 0.5000
O1 0.0000 0.0000 0.0000

Record 4
# FeAuO2, relaxed, DFT PBE with a Hubbard U
# E: -55.89 eV/cell
# Fermi-level density of states: 0.43 states/eV per atom
data_FeAuO2
_cell_length_a 3.6250
_cell_length_b 3.6250
_cell_length_c 16.9890
_cell_angle_alpha 90.00
_cell_angle_beta 90.00
_cell_angle_gamma 120.00
_space_group_name_H-M_alt 'R -3 m'
_space_group_IT_number 166
_space_group_name_Hall '-R 3 2"'
loop_
_atom_site_label
_atom_site_fract_x
_atom_site_fract_y
_atom_site_fract_z
Fe1 0.0000 0.0000 0.0000
Au1 0.0000 0.0000 0.5000
O1 0.0000 0.0000 0.1068

Record 5
# FeAuO2, relaxed, DFT PBE with a Hubbard U
# E: -72.98 eV/cell
# Fermi-level density of states: 0.11 states/eV per atom
data_FeAuO2
_cell_length_a 5.6929
_cell_length_b 5.6929
_cell_length_c 5.6929
_cell_angle_alpha 90.00
_cell_angle_beta 90.00
_cell_angle_gamma 90.00
_space_group_name_H-M_alt 'F m -3 m'
_space_group_IT_number 225
_space_group_name_Hall '-F 4 2 3'
loop_
_atom_site_label
_atom_site_fract_x
_atom_site_fract_y
_atom_site_fract_z
Fe1 0.0000 0.0000 0.0000
Au1 0.0000 0.0000 0.5000
O1 0.2500 0.2500 0.2500

Record 6
# FeAuO2, relaxed, DFT PBE with a Hubbard U
# E: -63.46 eV/cell
# Fermi-level density of states: 0.00 states/eV per atom
data_FeAuO2
_cell_length_a 2.9605
_cell_length_b 2.9605
_cell_length_c 18.2647
_cell_angle_alpha 90.00
_cell_angle_beta 90.00
_cell_angle_gamma 120.00
_space_group_name_H-M_alt 'R -3 m'
_space_group_IT_number 166
_space_group_name_Hall '-R 3 2"'
loop_
_atom_site_label
_atom_site_fract_x
_atom_site_fract_y
_atom_site_fract_z
Fe1 0.0000 0.0000 0.0000
Au1 0.0000 0.0000 0.5000
O1 0.0000 0.0000 0.3856

Record 7
# FeAuO2, relaxed, DFT PBE with a Hubbard U
# E: -84.37 eV/cell
# Fermi-level density of states: 0.25 states/eV per atom
data_FeAuO2
_cell_length_a 5.1149
_cell_length_b 5.1149
_cell_length_c 9.0255
_cell_angle_alpha 90.00
_cell_angle_beta 90.00
_cell_angle_gamma 90.00
_space_group_name_H-M_alt 'I -4 2 d'
_space_group_IT_number 122
_space_group_name_Hall 'I -4 2bw'
loop_
_atom_site_label
_atom_site_fract_x
_atom_site_fract_y
_atom_site_fract_z
Fe1 0.0000 0.0000 0.0000
Au1 0.0000 0.0000 0.5000
O1 0.1697 0.2500 0.1250

Record 8
# FeAuO3, relaxed, DFT PBE with a Hubbard U
# E: -24.40 eV/cell
# Fermi-level density of states: 1.01 states/eV per atom
data_FeAuO3
_cell_length_a 3.8231
_cell_length_b 3.8231
_cell_length_c 3.8231
_cell_angle_alpha 90.00
_cell_angle_beta 90.00
_cell_angle_gamma 90.00
_space_group_name_H-M_alt 'P m -3 m'
_space_group_IT_number 221
_space_group_name_Hall '-P 4 2 3'
loop_
_atom_site_label
_atom_site_fract_x
_atom_site_fract_y
_atom_site_fract_z
Fe1 0.0000 0.0000 0.0000
Au1 0.5000 0.5000 0.5000
O1 0.0000 0.0000 0.5000